(1)
Below is K2SbAu after structural relaxation, with properties calculated at the GGA-PBE level.

Results
ρ in kg/m³: 4647
Magnetic moment in μB per atom: 0.0000
Electronic total energy in eV/cell: -22.67

```
data_K2SbAu
_cell_length_a 11.270
_cell_length_b 4.928
_cell_length_c 5.997
_cell_angle_alpha 90.00
_cell_angle_beta 121.61
_cell_angle_gamma 90.00
_symmetry_space_group_name_H-M 'P 1'
_symmetry_Int_Tables_number 1
_symmetry_space_group_name_Hall 'P 1'
loop_
_atom_site_label
_atom_site_type_symbol
_atom_site_fract_x
_atom_site_fract_y
_atom_site_fract_z
K1 K 0.000 0.000 0.000
K2 K 0.190 0.000 0.688
K3 K 0.500 0.500 0.000
K4 K 0.690 0.500 0.688
Sb1 Sb 0.288 0.500 0.290
Sb2 Sb 0.788 0.000 0.290
Au1 Au 0.390 0.000 0.384
Au2 Au 0.890 0.500 0.384
```

(2)
Below is Mg6AgPd10 after structural relaxation, with properties calculated at the GGA-PBE level.

Results
DFT formation energy in eV per atom: -0.5314
ρ in kg/m³: 7874
Magnetic moment in μB per atom: 0.0000
Electronic total energy in eV/cell: -73.38
N(E_F) in states/eV per atom: 0.291

```
data_Mg6AgPd10
_cell_length_a 7.678
_cell_length_b 7.678
_cell_length_c 5.444
_cell_angle_alpha 90.00
_cell_angle_beta 90.00
_cell_angle_gamma 120.00
_symmetry_space_group_name_H-M 'P 1'
_symmetry_Int_Tables_number 1
_symmetry_space_group_name_Hall 'P 1'
loop_
_atom_site_label
_atom_site_type_symbol
_atom_site_fract_x
_atom_site_fract_y
_atom_site_fract_z
Mg1 Mg 0.000 0.363 0.295
Mg2 Mg 0.000 0.637 0.705
Mg3 Mg 0.363 0.000 0.295
Mg4 Mg 0.363 0.363 0.705
Mg5 Mg 0.637 0.000 0.705
Mg6 Mg 0.637 0.637 0.295
Ag1 Ag 0.000 0.000 0.500
Pd1 Pd 0.000 0.300 0.812
Pd2 Pd 0.000 0.700 0.188
Pd3 Pd 0.300 0.000 0.812
Pd4 Pd 0.300 0.300 0.188
Pd5 Pd 0.333 0.667 0.000
Pd6 Pd 0.333 0.667 0.500
Pd7 Pd 0.667 0.333 0.000
Pd8 Pd 0.667 0.333 0.500
Pd9 Pd 0.700 0.000 0.188
Pd10 Pd 0.700 0.700 0.812
```

(3)
Below is SrO4 after structural relaxation, with properties calculated at the GGA-PBE level.

Results
ρ in kg/m³: 259
Magnetic moment in μB per atom: 0.4000
Electronic total energy in eV/cell: -22.96
N(E_F) in states/eV per atom: 1.271

```
data_SrO4
_cell_length_a 9.186
_cell_length_b 9.186
_cell_length_c 11.520
_cell_angle_alpha 90.00
_cell_angle_beta 90.00
_cell_angle_gamma 90.00
_symmetry_space_group_name_H-M 'P 1'
_symmetry_Int_Tables_number 1
_symmetry_space_group_name_Hall 'P 1'
loop_
_atom_site_label
_atom_site_type_symbol
_atom_site_fract_x
_atom_site_fract_y
_atom_site_fract_z
Sr1 Sr 0.000 0.000 0.000
O1 O 0.000 0.000 0.190
O2 O 0.000 0.000 0.305
O3 O 0.000 0.000 0.695
O4 O 0.000 0.000 0.810
```

(4)
Below is Nd2TmTl after structural relaxation, with properties calculated at the GGA-PBE level.

Results
DFT formation energy in eV per atom: -0.0917
ρ in kg/m³: 8480
Magnetic moment in μB per atom: 0.0872
Electronic total energy in eV/cell: -50.22
N(E_F) in states/eV per atom: 1.438

```
data_Nd2TmTl
_cell_length_a 3.678
_cell_length_b 3.678
_cell_length_c 33.193
_cell_angle_alpha 90.00
_cell_angle_beta 90.00
_cell_angle_gamma 120.00
_symmetry_space_group_name_H-M 'P 1'
_symmetry_Int_Tables_number 1
_symmetry_space_group_name_Hall 'P 1'
loop_
_atom_site_label
_atom_site_type_symbol
_atom_site_fract_x
_atom_site_fract_y
_atom_site_fract_z
Nd1 Nd 0.000 0.000 0.000
Nd2 Nd 0.000 0.000 0.172
Nd3 Nd 0.333 0.667 0.667
Nd4 Nd 0.333 0.667 0.839
Nd5 Nd 0.667 0.333 0.333
Nd6 Nd 0.667 0.333 0.505
Tm1 Tm 0.000 0.000 0.753
Tm2 Tm 0.333 0.667 0.419
Tm3 Tm 0.667 0.333 0.086
Tl1 Tl 0.000 0.000 0.586
Tl2 Tl 0.333 0.667 0.253
Tl3 Tl 0.667 0.333 0.920
```